Record 1
Cs2RbAgPb: relaxed, PBE.

## Properties
Symmetry ... P4/mmm (123)
E ... -8.9 eV per formula unit
Energy relative to the lowest polymorph listed for this composition ... 0.000 eV/atom
M_tot ... 0.11 μB per formula unit

a b c (Å): 7.2158 7.2158 5.5284
angles (deg): 90.00 90.00 90.00
Positions (direct):
Pb: 0.0000 0.0000 0.5000
Cs: 0.0000 0.5000 0.0000
Cs: 0.5000 0.0000 0.0000
Rb: 0.5000 0.5000 0.5000
Ag: 0.0000 0.0000 0.0000

=====

Record 2
SmTlIn4: relaxed, PBE.

## Properties
Symmetry ... F-43m (216)
E ... -18.8 eV per formula unit
M_tot ... 0.00 μB per formula unit

a b c (Å): 6.1637 6.1637 6.1637
angles (deg): 60.00 60.00 60.00
Positions (direct):
Tl: 0.0000 0.0000 0.0000
Sm: 0.2500 0.2500 0.2500
In: 0.6250 0.6250 0.1251
In: 0.6250 0.1251 0.6250
In: 0.6250 0.6250 0.6250
In: 0.1251 0.6250 0.6250

=====

Record 3
SrCo2Tc: relaxed, PBE.

## Properties
Symmetry ... I4_1/amd (141)
E ... -23.3 eV per formula unit
Energy relative to the lowest polymorph listed for this composition ... 0.450 eV/atom
M_tot ... 1.68 μB per formula unit

a b c (Å): 4.8402 4.8402 8.3705
angles (deg): 73.19 73.19 90.00
Site moments in Bohr magnetons follow the coordinates.
Positions (direct):
Sr: 0.5000 0.5000 0.0000  -0.01
Sr: 0.2500 0.7500 0.5000  -0.01
Co: 0.8750 0.1250 0.2500  0.70
Co: 0.8750 0.6250 0.2500  0.70
Co: 0.3750 0.1250 0.7500  0.62
Co: 0.8750 0.1250 0.7500  0.55
Tc: 0.0000 0.0000 0.0000  0.44
Tc: 0.7500 0.2500 0.5000  0.44

=====

Record 4
KBiPb2Br8: relaxed, PBE.

## Properties
Symmetry ... P2/m (10)
E ... -37.6 eV per formula unit
Formation energy from raw total energies ... -95 kJ per mole of atoms
M_tot ... 0.00 μB per formula unit

a b c (Å): 7.2645 6.9497 9.2426
angles (deg): 89.98 89.99 89.19
Positions (direct):
K: 0.0000 0.0000 0.5000
Bi: 0.0000 0.0000 0.0000
Pb: 0.5000 0.5000 0.7485
Pb: 0.5000 0.5000 0.2515
Br: 0.1552 0.7571 0.2237
Br: 0.6727 0.7602 0.9999
Br: 0.8445 0.2426 0.2236
Br: 0.8448 0.2429 0.7763
Br: 0.3273 0.2398 0.0001
Br: 0.1555 0.7574 0.7764
Br: 0.6373 0.7285 0.5000
Br: 0.3627 0.2715 0.5000

=====

Record 5
TlSbPd2: relaxed, PBE.

## Properties
Symmetry ... Fm-3m (225)
E ... -17.5 eV per formula unit
Energy relative to the lowest polymorph listed for this composition ... 0.168 eV/atom
Formation energy from raw total energies ... -15 kJ per mole of atoms
M_tot ... 0.00 μB per formula unit

a b c (Å): 4.8157 4.8157 4.8157
angles (deg): 60.00 60.00 60.00
Positions (direct):
Sb: 0.0000 0.0000 0.0000
Tl: 0.5000 0.5000 0.5000
Pd: 0.2500 0.2500 0.2500
Pd: 0.7500 0.7500 0.7500

=====

Record 6
Be3Nb: relaxed, PBE.

## Properties
Symmetry ... P6_3/mmc (194)
E ... -22.2 eV per formula unit
Energy relative to the lowest polymorph listed for this composition ... 0.000 eV/atom
M_tot ... 0.00 μB per formula unit

a b c (Å): 4.5670 4.5670 14.0585
angles (deg): 90.00 90.00 120.00
Positions (direct):
Be: 0.3375 0.1687 0.1285
Be: 0.8313 0.1687 0.1285
Be: 0.8313 0.6625 0.1285
Be: 0.6625 0.8313 0.6285
Be: 0.1687 0.8313 0.6285
Be: 0.1687 0.3375 0.6285
Be: 0.1687 0.8313 0.8715
Be: 0.6625 0.8313 0.8715
Be: 0.1687 0.3375 0.8715
Be: 0.8313 0.1687 0.3715
Be: 0.3375 0.1687 0.3715
Be: 0.8313 0.6625 0.3715
Be: 0.6667 0.3333 0.2500
Be: 0.3333 0.6667 0.7500
Be: 0.0000 0.0000 0.2500
Be: 0.0000 0.0000 0.7500
Be: 0.0000 0.0000 0.0000
Be: 0.0000 0.0000 0.5000
Nb: 0.6667 0.3333 0.5400
Nb: 0.3333 0.6667 0.0400
Nb: 0.3333 0.6667 0.4600
Nb: 0.6667 0.3333 0.9600
Nb: 0.6667 0.3333 0.7500
Nb: 0.3333 0.6667 0.2500

=====

Record 7
Ho2Tm3Tl6: relaxed, PBE.

## Properties
Symmetry ... I4/mmm (139)
E ... -36.6 eV per formula unit
M_tot ... 0.00 μB per formula unit

a b c (Å): 4.6641 4.6641 15.3394
angles (deg): 98.74 98.74 90.00
Positions (direct):
Ho: 0.4472 0.4472 0.8943
Ho: 0.5528 0.5528 0.1057
Tm: 0.0000 0.0000 0.0000
Tm: 0.7988 0.7988 0.5976
Tm: 0.2012 0.2012 0.4024
Tl: 0.1207 0.6207 0.2413
Tl: 0.6207 0.1207 0.2413
Tl: 0.8793 0.3793 0.7587
Tl: 0.3793 0.8793 0.7587
Tl: 0.6976 0.6976 0.3952
Tl: 0.3024 0.3024 0.6048

=====

Record 8
Ho2Th4Sc: relaxed, PBE.

## Properties
Symmetry ... I4/mmm (139)
E ... -39.1 eV per formula unit
Energy relative to the lowest polymorph listed for this composition ... 0.436 eV/atom
M_tot ... 1.40 μB per formula unit

a b c (Å): 5.4371 5.4371 9.2633
angles (deg): 107.07 107.07 90.00
Site moments in Bohr magnetons follow the coordinates.
Positions (direct):
Ho: 0.3773 0.3773 0.7546  0.15
Ho: 0.6227 0.6227 0.2454  0.15
Th: 0.1832 0.1832 0.3664  0.21
Th: 0.8168 0.8168 0.6336  0.21
Th: 0.0000 0.5000 0.0000  0.02
Th: 0.5000 0.0000 0.0000  0.02
Sc: 0.0000 0.0000 0.0000  0.07

=====

Record 9
Pr2SmCo: relaxed, PBE.

## Properties
Symmetry ... R3m (160)
E ... -21.1 eV per formula unit
Energy relative to the lowest polymorph listed for this composition ... 0.139 eV/atom
M_tot ... 0.00 μB per formula unit

a b c (Å): 3.8835 3.8835 9.6051
angles (deg): 78.34 78.34 60.00
Positions (direct):
Pr: 0.0575 0.0575 0.8276
Pr: 0.2757 0.2757 0.1728
Sm: 0.5005 0.5005 0.4986
Co: 0.6663 0.6663 0.0011

=====

Record 10
BaFe2CoS: relaxed, PBE.

## Properties
Symmetry ... P4/mmm (123)
E ... -26.5 eV per formula unit
Formation energy from raw total energies ... 70 kJ per mole of atoms
M_tot ... 0.17 μB per formula unit

a b c (Å): 4.4090 4.8588 4.4090
angles (deg): 90.00 90.00 90.00
Site moments in Bohr magnetons follow the coordinates.
Positions (direct):
S: 0.0000 0.5000 0.0000  0.02
Co: 0.0000 0.0000 0.0000  0.03
Ba: 0.5000 0.5000 0.5000  -0.01
Fe: 0.0000 0.0000 0.5000  -0.05
Fe: 0.5000 0.0000 0.0000  -0.14